Er5Pb2N: relaxed, GGA-PBE.

Output
DOS at the Fermi energy: 30.0 states/eV/cell
Crystal system: orthorhombic
E_tot: -5.09 eV per atom

The structure in CIF format:
```
data_Er5Pb2N
_space_group_name_H-M_alt 'C m c m'
_space_group_IT_number 63
_space_group_name_Hall '-C 2c 2'
_cell_length_a 4.650
_cell_length_b 16.903
_cell_length_c 12.136
_cell_angle_alpha 90.00
_cell_angle_beta 90.00
_cell_angle_gamma 90.00
loop_
_atom_site_label
_atom_site_type_symbol
_atom_site_fract_x
_atom_site_fract_y
_atom_site_fract_z
Er1 Er 0.000 0.114 0.115
Er2 Er 0.000 0.270 0.750
Er3 Er 0.000 0.305 0.083
Pb1 Pb 0.000 0.072 0.630
N1 N 0.000 0.218 0.250
```

Li15Ag2Pd2: relaxed, GGA-PBE.

Output
DOS at the Fermi energy: 19.5 states/eV/cell
Crystal system: trigonal
Calculated formation energy: -0.066 eV/atom
E_tot: -2.42 eV per atom

The structure in CIF format:
```
data_Li15Ag2Pd2
_space_group_name_H-M_alt 'R -3 m'
_space_group_IT_number 166
_space_group_name_Hall '-R 3 2"'
_cell_length_a 8.1301
_cell_length_b 8.1301
_cell_length_c 16.1777
_cell_angle_alpha 90.00
_cell_angle_beta 90.00
_cell_angle_gamma 120.00
loop_
_atom_site_label
_atom_site_type_symbol
_atom_site_fract_x
_atom_site_fract_y
_atom_site_fract_z
Li1 Li 0.0000 0.2831 0.0000
Li2 Li 0.0000 0.5000 0.5000
Li3 Li 0.0880 0.5440 0.1033
Ag1 Ag 0.0000 0.0000 0.2826
Pd1 Pd 0.0000 0.0000 0.0906
```